Record 1
DFT (PBE) results for a relaxed Ti2AlP crystal.

## Properties
energy of formation	-100	kJ/mol of formula units
space-group type	Fm-3m
energy above the most stable polymorph in this dataset	0.375	eV/atom

Unit cell a=4.4249 b=4.4249 c=4.4249 alpha=60.00 beta=60.00 gamma=60.00
Positions (direct):
P (0.5000, 0.5000, 0.5000)
Al (0.0000, 0.0000, 0.0000)
Ti (0.2500, 0.2500, 0.2500)
Ti (0.7500, 0.7500, 0.7500)


Record 2
DFT (PBE) results for a relaxed LaCr2Te4 crystal.

## Properties
uncorrected formation energy	0.0	eV per formula unit
space-group type	I4/mmm

Unit cell a=6.0620 b=6.0620 c=8.2859 alpha=68.54 beta=68.54 gamma=90.00
Positions (direct):
Cr (0.5955, 0.5955, 0.8089)
Cr (0.4045, 0.4045, 0.1911)
Te (0.7725, 0.7725, 0.4551)
Te (0.2275, 0.2275, 0.5449)
Te (0.0000, 0.5000, 0.0000)
Te (0.5000, 0.0000, 0.0000)
La (0.0000, 0.0000, 0.0000)


Record 3
DFT (PBE) results for a relaxed LiAlAg2 crystal.

## Properties
energy of formation	-50	kJ/mol of formula units
space-group type	C2/m

Unit cell a=4.7001 b=4.7001 c=5.2796 alpha=83.01 beta=83.01 gamma=35.08
Positions (direct):
Ag (0.0069, 0.0069, 0.0007)
Ag (0.4931, 0.4931, 0.4993)
Al (0.7500, 0.7500, 0.7500)
Li (0.2500, 0.2500, 0.2500)


Record 4
DFT (PBE) results for a relaxed Er6Tl2Rh crystal.

## Properties
energy of formation	-204	kJ/mol of formula units
space-group type	Immm

Unit cell a=5.0290 b=7.1974 c=8.6066 alpha=114.72 beta=106.97 gamma=90.00
Positions (direct):
Er (0.1547, 0.3935, 0.3097)
Er (0.8453, 0.0838, 0.6903)
Er (0.8453, 0.6065, 0.6903)
Er (0.5000, 0.2261, 0.0000)
Er (0.1547, 0.9162, 0.3097)
Er (0.5000, 0.7739, 0.0000)
Tl (0.6670, 0.6672, 0.3343)
Tl (0.3330, 0.3328, 0.6657)
Rh (0.0000, 0.0000, 0.0000)


no.,magnetization (μB per formula unit)
1,0.00
2,6.99
3,0.00
4,0.00